{"formula": "IrPbO3", "functional": "PBE-GGA", "state": "relaxed", "raw_formation_energy_ev_per_atom": -0.689, "energy_ev_per_cell": -61.78, "spacegroup": "C2/m (12)", "lattice": [[7.301, -1.593, 0.000], [7.301, 1.593, 0.000], [-0.862, 0.000, 6.603]], "species": ["Ir", "Ir", "Pb", "Pb", "O", "O", "O", "O", "O", "O"], "frac_coords": [[0.072, 0.072, 0.122], [0.928, 0.928, 0.878], [0.350, 0.350, 0.404], [0.650, 0.650, 0.596], [0.184, 0.184, 0.367], [0.375, 0.375, 0.998], [0.470, 0.470, 0.726], [0.530, 0.530, 0.274], [0.625, 0.625, 0.002], [0.816, 0.816, 0.633]]}

{"formula": "Ir3PbO", "functional": "PBE-GGA", "state": "relaxed", "raw_formation_energy_ev_per_atom": 0.886, "energy_ev_per_cell": -30.82, "de_polymorph_mev_per_atom": 0, "spacegroup": "Pm-3m (221)", "lattice": [[4.300, 0.000, 0.000], [0.000, 4.300, 0.000], [0.000, 0.000, 4.300]], "species": ["Ir", "Ir", "Ir", "Pb", "O"], "frac_coords": [[0.000, 0.000, 0.500], [0.000, 0.500, 0.000], [0.500, 0.000, 0.000], [0.500, 0.500, 0.500], [0.000, 0.000, 0.000]]}

{"formula": "IrPb3O7", "functional": "PBE-GGA", "state": "relaxed", "raw_formation_energy_ev_per_atom": -0.931, "energy_ev_per_cell": -129.86, "spacegroup": "Cmcm (63)", "lattice": [[5.323, -3.833, 0.000], [5.323, 3.833, 0.000], [0.000, 0.000, 7.646]], "species": ["Ir", "Ir", "Pb", "Pb", "Pb", "Pb", "Pb", "Pb", "O", "O", "O", "O", "O", "O", "O", "O", "O", "O", "O", "O", "O", "O"], "frac_coords": [[0.000, 0.000, 0.000], [0.000, 0.000, 0.500], [0.004, 0.549, 0.750], [0.451, 0.996, 0.750], [0.500, 0.500, 0.000], [0.500, 0.500, 0.500], [0.549, 0.004, 0.250], [0.996, 0.451, 0.250], [0.059, 0.688, 0.024], [0.059, 0.688, 0.476], [0.078, 0.922, 0.750], [0.312, 0.941, 0.024], [0.312, 0.941, 0.476], [0.345, 0.350, 0.750], [0.350, 0.345, 0.250], [0.650, 0.655, 0.750], [0.655, 0.650, 0.250], [0.688, 0.059, 0.524], [0.688, 0.059, 0.976], [0.922, 0.078, 0.250], [0.941, 0.312, 0.524], [0.941, 0.312, 0.976]]}

{"formula": "IrPbO3", "functional": "PBE-GGA", "state": "relaxed", "raw_formation_energy_ev_per_atom": -0.627, "energy_ev_per_cell": -30.58, "spacegroup": "Pm-3m (221)", "lattice": [[3.989, 0.000, 0.000], [0.000, 3.989, 0.000], [0.000, 0.000, 3.989]], "species": ["Ir", "Pb", "O", "O", "O"], "frac_coords": [[0.000, 0.000, 0.000], [0.500, 0.500, 0.500], [0.000, 0.000, 0.500], [0.000, 0.500, 0.000], [0.500, 0.000, 0.000]]}